# TlCu3S3

An optimized crystal structure of TlCu3S3 (PBE, Alexandria via LeMat-Bulk).

Calculated values
Its total energy is -4.099 eV/atom. For the total magnetic moment, the calculation gives 0.0 μB per formula unit. The formation energy without anion corrections comes out at -0.237 eV per atom.

Unit cell a=6.494 b=6.494 c=6.494 alpha=90.00 beta=90.00 gamma=90.00
Fractional coordinates of all 14 atoms:
Tl1 0.000 0.000 0.000
Tl2 0.500 0.500 0.500
Cu1 0.000 0.250 0.500
Cu2 0.000 0.750 0.500
Cu3 0.250 0.500 0.000
Cu4 0.500 0.000 0.250
Cu5 0.500 0.000 0.750
Cu6 0.750 0.500 0.000
S1 0.000 0.500 0.250
S2 0.000 0.500 0.750
S3 0.250 0.000 0.500
S4 0.500 0.250 0.000
S5 0.500 0.750 0.000
S6 0.750 0.000 0.500

***

# In12Hg6Bi

An optimized crystal structure of In12Hg6Bi (PBE, Alexandria via LeMat-Bulk).

Calculated values
As for the energy above the lowest structure with this stoichiometry: 10 meV/atom. Its total energy is -1.961 eV/atom. For the total magnetic moment, the calculation gives 0.0 μB per formula unit. The formation energy is 0.0684 eV per atom.

Unit cell a=8.220 b=8.220 c=8.220 alpha=93.81 beta=93.81 gamma=93.81
Fractional coordinates of all 19 atoms:
In1 0.000 0.274 0.726
In2 0.000 0.726 0.274
In3 0.165 0.611 0.611
In4 0.274 0.000 0.726
In5 0.274 0.726 0.000
In6 0.389 0.389 0.835
In7 0.389 0.835 0.389
In8 0.611 0.165 0.611
In9 0.611 0.611 0.165
In10 0.726 0.000 0.274
In11 0.726 0.274 0.000
In12 0.835 0.389 0.389
Hg1 0.132 0.132 0.396
Hg2 0.132 0.396 0.132
Hg3 0.396 0.132 0.132
Hg4 0.604 0.868 0.868
Hg5 0.868 0.604 0.868
Hg6 0.868 0.868 0.604
Bi1 0.000 0.000 0.000

***

# K2YMo

An optimized crystal structure of K2YMo (PBE, Alexandria via LeMat-Bulk).

Calculated values
As for the energy above the lowest structure with this stoichiometry: 391 meV/atom. Its total energy is -3.701 eV/atom. For the total magnetic moment, the calculation gives 3.3 μB per formula unit. The formation energy is 1.1716 eV per atom.

Unit cell a=4.534 b=4.534 c=6.574 alpha=90.00 beta=90.00 gamma=90.00
Fractional coordinates of all 4 atoms:
K1 0.000 0.500 0.000
K2 0.500 0.000 0.000
Y1 0.000 0.000 0.500
Mo1 0.500 0.500 0.500

***

# BaLa2RhPb

An optimized crystal structure of BaLa2RhPb (PBE, Alexandria via LeMat-Bulk).

Calculated values
Its total energy is -4.984 eV/atom. For the total magnetic moment, the calculation gives 0.0 μB per formula unit. The formation energy is -0.4162 eV per atom.

Unit cell a=5.530 b=5.530 c=5.923 alpha=90.00 beta=90.00 gamma=90.00
Fractional coordinates of all 5 atoms:
Ba1 0.000 0.000 0.000
La1 0.000 0.500 0.500
La2 0.500 0.000 0.500
Rh1 0.000 0.000 0.500
Pb1 0.500 0.500 0.000

***

# Ho2InGe3Pt4

An optimized crystal structure of Ho2InGe3Pt4 (PBE, Alexandria via LeMat-Bulk).

Calculated values
Its total energy is -5.820 eV/atom. For the total magnetic moment, the calculation gives 0.0 μB per formula unit. The formation energy is -0.8293 eV per atom.

Unit cell a=4.192 b=4.192 c=11.027 alpha=90.00 beta=90.00 gamma=90.00
Fractional coordinates of all 10 atoms:
Ho1 0.000 0.500 0.237
Ho2 0.500 0.000 0.763
In1 0.000 0.000 0.500
Ge1 0.000 0.500 0.870
Ge2 0.500 0.000 0.130
Ge3 0.500 0.500 0.500
Pt1 0.000 0.000 0.000
Pt2 0.000 0.500 0.653
Pt3 0.500 0.000 0.347
Pt4 0.500 0.500 0.000

***

# CoB2Mo2

An optimized crystal structure of CoB2Mo2 (PBE, Alexandria via LeMat-Bulk).

Calculated values
Its total energy is -8.918 eV/atom. For the total magnetic moment, the calculation gives 0.0 μB per formula unit. The formation energy is -0.4934 eV per atom.

Unit cell a=4.523 b=4.523 c=4.523 alpha=139.00 beta=119.28 gamma=75.89
Fractional coordinates of all 5 atoms:
Co1 0.000 0.000 0.000
B1 0.296 0.500 0.796
B2 0.704 0.500 0.204
Mo1 0.299 0.799 0.500
Mo2 0.701 0.201 0.500

***

The highest total magnetic moment belongs to which entry?
K2YMo